(1)
Here is a geometry-optimized Sc6ZnRh structure from Alexandria via LeMat-Bulk. Energies are from PBE.

Geometry as CIF:
```
data_Sc6ZnRh
_chemical_formula_sum 'Sc12 Zn2 Rh2'
_cell_length_a 6.243
_cell_length_b 10.522
_cell_length_c 6.172
_cell_angle_alpha 90.00
_cell_angle_beta 114.52
_cell_angle_gamma 90.00
_space_group_name_H-M_alt 'C 1 2/m 1'
_space_group_IT_number 12
_space_group_name_Hall '-C 2y'
loop_
_atom_site_label
_atom_site_type_symbol
_atom_site_fract_x
_atom_site_fract_y
_atom_site_fract_z
Sc1 Sc 0.239 0.000 0.258
Sc2 Sc 0.241 0.197 0.749
Zn1 Zn 0.000 0.500 0.000
Rh1 Rh 0.000 0.000 0.500
```

## Properties
Formation energy from the elements (kJ/mol of atoms): -11.38

(2)
Here is a geometry-optimized NbTeI structure from Alexandria via LeMat-Bulk. Energies are from PBE.

Geometry as CIF:
```
data_NbTeI
_chemical_formula_sum 'Nb2 Te2 I2'
_cell_length_a 6.537
_cell_length_b 3.664
_cell_length_c 8.238
_cell_angle_alpha 90.00
_cell_angle_beta 109.03
_cell_angle_gamma 90.00
_space_group_name_H-M_alt 'P 1 m 1'
_space_group_IT_number 6
_space_group_name_Hall 'P -2y'
loop_
_atom_site_label
_atom_site_type_symbol
_atom_site_fract_x
_atom_site_fract_y
_atom_site_fract_z
Nb1 Nb 0.000 0.000 0.000
Nb2 Nb 0.357 0.500 0.981
Te1 Te 0.204 0.500 0.256
Te2 Te 0.682 0.000 0.184
I1 I 0.151 0.000 0.714
I2 I 0.676 0.500 0.785
```

## Properties
Relative energy among the computed polymorphs (meV/atom): 39.4

(3)
Here is a geometry-optimized HoTe2Ir structure from Alexandria via LeMat-Bulk. Energies are from PBE.

Geometry as CIF:
```
data_HoTe2Ir
_chemical_formula_sum 'Ho3 Te6 Ir3'
_cell_length_a 3.9893
_cell_length_b 3.9893
_cell_length_c 26.5084
_cell_angle_alpha 90.00
_cell_angle_beta 90.00
_cell_angle_gamma 120.00
_space_group_name_H-M_alt 'R -3 m'
_space_group_IT_number 166
_space_group_name_Hall '-R 3 2"'
loop_
_atom_site_label
_atom_site_type_symbol
_atom_site_fract_x
_atom_site_fract_y
_atom_site_fract_z
Ho1 Ho 0.0000 0.0000 0.0000
Te1 Te 0.0000 0.0000 0.1154
Ir1 Ir 0.0000 0.0000 0.5000
```

## Properties
Final energy (eV per cell): -61.35

(4)
Here is a geometry-optimized Hf5TiSn2 structure from Alexandria via LeMat-Bulk. Energies are from PBE.

Geometry as CIF:
```
data_Hf5TiSn2
_chemical_formula_sum 'Hf20 Ti4 Sn8'
_cell_length_a 4.973
_cell_length_b 10.577
_cell_length_c 13.407
_cell_angle_alpha 90.00
_cell_angle_beta 90.00
_cell_angle_gamma 90.00
_space_group_name_H-M_alt 'C m c m'
_space_group_IT_number 63
_space_group_name_Hall '-C 2c 2'
loop_
_atom_site_label
_atom_site_type_symbol
_atom_site_fract_x
_atom_site_fract_y
_atom_site_fract_z
Hf1 Hf 0.000 0.048 0.250
Hf2 Hf 0.000 0.116 0.551
Hf3 Hf 0.000 0.425 0.601
Ti1 Ti 0.000 0.225 0.750
Sn1 Sn 0.000 0.285 0.129
```

## Properties
Formation energy from the elements (kJ/mol of atoms): -7.93

(5)
Here is a geometry-optimized ReSCl2O6 structure from Alexandria via LeMat-Bulk. Energies are from PBE.

Geometry as CIF:
```
data_ReSCl2O6
_chemical_formula_sum 'Re1 S1 Cl2 O6'
_cell_length_a 4.835
_cell_length_b 4.885
_cell_length_c 6.685
_cell_angle_alpha 84.67
_cell_angle_beta 86.95
_cell_angle_gamma 88.86
_space_group_name_H-M_alt 'P -1'
_space_group_IT_number 2
_space_group_name_Hall '-P 1'
loop_
_atom_site_label
_atom_site_type_symbol
_atom_site_fract_x
_atom_site_fract_y
_atom_site_fract_z
Re1 Re 0.000 0.000 0.000
S1 S 0.500 0.500 0.000
Cl1 Cl 0.373 0.641 0.566
O1 O 0.074 0.966 0.738
O2 O 0.205 0.646 0.065
O3 O 0.351 0.209 0.002
```

## Properties
Final energy (eV per cell): -55.56

(6)
Here is a geometry-optimized LiEr2GaO5 structure from Alexandria via LeMat-Bulk. Energies are from PBE.

Geometry as CIF:
```
data_LiEr2GaO5
_chemical_formula_sum 'Li2 Er4 Ga2 O10'
_cell_length_a 6.373
_cell_length_b 6.373
_cell_length_c 5.654
_cell_angle_alpha 90.00
_cell_angle_beta 90.00
_cell_angle_gamma 90.00
_space_group_name_H-M_alt 'P 4/m b m'
_space_group_IT_number 127
_space_group_name_Hall '-P 4 2ab'
loop_
_atom_site_label
_atom_site_type_symbol
_atom_site_fract_x
_atom_site_fract_y
_atom_site_fract_z
Li1 Li 0.000 0.000 0.000
Er1 Er 0.178 0.322 0.500
Ga1 Ga 0.000 0.500 0.000
O1 O 0.000 0.000 0.500
O2 O 0.141 0.641 0.244
```

## Properties
Final energy (eV per cell): -124.16

(7)
Here is a geometry-optimized Pr2Hg6Au structure from Alexandria via LeMat-Bulk. Energies are from PBE.

Geometry as CIF:
```
data_Pr2Hg6Au
_chemical_formula_sum 'Pr2 Hg6 Au1'
_cell_length_a 6.7890
_cell_length_b 6.7890
_cell_length_c 5.7283
_cell_angle_alpha 90.00
_cell_angle_beta 90.00
_cell_angle_gamma 120.00
_space_group_name_H-M_alt 'P -3 m 1'
_space_group_IT_number 164
_space_group_name_Hall '-P 3 2"'
loop_
_atom_site_label
_atom_site_type_symbol
_atom_site_fract_x
_atom_site_fract_y
_atom_site_fract_z
Pr1 Pr 0.3333 0.6667 0.3031
Hg1 Hg 0.1826 0.3652 0.8113
Au1 Au 0.0000 0.0000 0.5000
```

## Properties
Formation energy from the elements (kJ/mol of atoms): -30.03

(8)
Here is a geometry-optimized KFeSe structure from Alexandria via LeMat-Bulk. Energies are from PBE.

Geometry as CIF:
```
data_KFeSe
_chemical_formula_sum 'K4 Fe4 Se4'
_cell_length_a 6.525
_cell_length_b 6.525
_cell_length_c 6.525
_cell_angle_alpha 90.00
_cell_angle_beta 90.00
_cell_angle_gamma 90.00
_space_group_name_H-M_alt 'F -4 3 m'
_space_group_IT_number 216
_space_group_name_Hall 'F -4 2 3'
loop_
_atom_site_label
_atom_site_type_symbol
_atom_site_fract_x
_atom_site_fract_y
_atom_site_fract_z
K1 K 0.000 0.000 0.000
Fe1 Fe 0.250 0.250 0.750
Se1 Se 0.000 0.000 0.500
```

## Properties
Relative energy among the computed polymorphs (meV/atom): 592.0